{
  "formula": "SmThPd6",
  "functional": "GGA-PBE",
  "state": "relaxed",
  "lattice": [[-0.399, -4.056, 0.987], [3.749, -0.784, -1.706], [3.663, 1.438, 7.390]],
  "species": ["Sm", "Th", "Pd", "Pd", "Pd", "Pd", "Pd", "Pd"],
  "frac_coords": [[0.000, 0.000, 0.000], [0.000, 0.000, 0.500], [0.500, 0.500, 0.000], [0.500, 0.500, 0.500], [0.500, 0.000, 0.252], [0.500, 0.000, 0.748], [0.000, 0.500, 0.252], [0.000, 0.500, 0.748]],
  "e_form_ev_per_atom": -0.927,
  "magmom_total_mub_per_fu": 0.0,
  "volume_a3_per_atom": 18.402,
  "crystal_system": "tetragonal",
  "energy_ev_per_cell": -50.71
}